A:
First-principles (PBE-GGA) data for crystalline BaTiTc3 at its relaxed geometry, as listed in Alexandria via LeMat-Bulk.

a b c (Å): 4.804 4.804 4.804
angles (deg): 90.00 90.00 90.00
Sites, in units of the cell vectors:
Ti 0.000 0.000 0.000
Ba 0.500 0.500 0.500
Tc 0.000 0.500 0.000
Tc 0.000 0.000 0.500
Tc 0.500 0.000 0.000

Output
Theoretical density   7.18 Mg/m³
Total moment   3.59 Bohr magnetons per cell
Symmetry   Pm-3m (221)

B:
First-principles (PBE-GGA) data for crystalline BaTiTc3 at its relaxed geometry, as listed in Alexandria via LeMat-Bulk.

a b c (Å): 4.876 4.876 4.876
angles (deg): 90.00 90.00 90.00
Sites, in units of the cell vectors:
Ti 0.500 0.500 0.500
Ba 0.000 0.000 0.000
Tc 0.000 0.500 0.000
Tc 0.000 0.000 0.500
Tc 0.500 0.000 0.000

Output
Theoretical density   6.86 Mg/m³
Total moment   0.00 Bohr magnetons per cell
Symmetry   Pm-3m (221)

What should be chosen as the least stable of them? Choose B.

A:
First-principles (PBE-GGA) data for crystalline Ba2TiTc at its relaxed geometry, as listed in Alexandria via LeMat-Bulk.

a b c (Å): 5.392 5.392 5.392
angles (deg): 60.00 60.00 60.00
Sites, in units of the cell vectors:
Ti 0.000 0.000 0.000
Ba 0.250 0.250 0.250
Ba 0.750 0.750 0.750
Tc 0.500 0.500 0.500

Output
Theoretical density   6.30 Mg/m³
Total moment   0.01 Bohr magnetons per cell
Symmetry   Fm-3m (225)

B:
First-principles (PBE-GGA) data for crystalline Ba2TiTc at its relaxed geometry, as listed in Alexandria via LeMat-Bulk.

a b c (Å): 12.398 12.398 9.055
angles (deg): 46.79 46.79 90.00
Sites, in units of the cell vectors:
Ti 0.500 0.500 0.000
Ti 0.250 0.750 0.500
Ba 0.810 0.125 0.250
Ba 0.940 0.625 0.250
Ba 0.375 0.190 0.750
Ba 0.875 0.060 0.750
Tc 0.000 0.000 0.000
Tc 0.750 0.250 0.500

Output
Theoretical density   4.01 Mg/m³
Total moment   0.00 Bohr magnetons per cell
Symmetry   I-42d (122)

What should be chosen as the least stable of them? Choose A.

A:
First-principles (PBE-GGA) data for crystalline Ba2TiTc2 at its relaxed geometry, as listed in Alexandria via LeMat-Bulk.

a b c (Å): 3.534 3.534 11.848
angles (deg): 81.42 81.42 90.00
Sites, in units of the cell vectors:
Ti 0.000 0.000 0.000
Ba 0.377 0.377 0.246
Ba 0.623 0.623 0.754
Tc 0.750 0.250 0.500
Tc 0.250 0.750 0.500

Output
Theoretical density   5.95 Mg/m³
Total moment   2.96 Bohr magnetons per cell
Symmetry   I4/mmm (139)

B:
First-principles (PBE-GGA) data for crystalline Ba2TiTc2 at its relaxed geometry, as listed in Alexandria via LeMat-Bulk.

a b c (Å): 9.378 9.378 2.931
angles (deg): 90.00 90.00 90.00
Sites, in units of the cell vectors:
Ti 0.000 0.000 0.000
Ti 0.500 0.500 0.000
Ba 0.370 0.870 0.000
Ba 0.870 0.630 0.000
Ba 0.630 0.130 0.000
Ba 0.130 0.370 0.000
Tc 0.177 0.677 0.500
Tc 0.677 0.823 0.500
Tc 0.823 0.323 0.500
Tc 0.323 0.177 0.500

Output
Theoretical density   6.68 Mg/m³
Total moment   0.00 Bohr magnetons per cell
Symmetry   P4/mbm (127)

What should be chosen as the least stable of them? Choose B.

A:
First-principles (PBE-GGA) data for crystalline BaTi2Tc2 at its relaxed geometry, as listed in Alexandria via LeMat-Bulk.

a b c (Å): 8.108 8.108 3.121
angles (deg): 90.00 90.00 90.00
Sites, in units of the cell vectors:
Ti 0.377 0.877 0.000
Ti 0.877 0.623 0.000
Ti 0.623 0.123 0.000
Ti 0.123 0.377 0.000
Ba 0.000 0.000 0.000
Ba 0.500 0.500 0.000
Tc 0.132 0.632 0.500
Tc 0.632 0.868 0.500
Tc 0.868 0.368 0.500
Tc 0.368 0.132 0.500

Output
Theoretical density   6.95 Mg/m³
Total moment   0.00 Bohr magnetons per cell
Symmetry   P4/mbm (127)

B:
First-principles (PBE-GGA) data for crystalline BaTi2Tc2 at its relaxed geometry, as listed in Alexandria via LeMat-Bulk.

a b c (Å): 4.313 4.313 6.827
angles (deg): 71.59 71.59 90.00
Sites, in units of the cell vectors:
Ti 0.355 0.355 0.291
Ti 0.645 0.645 0.709
Ba 0.000 0.000 0.000
Tc 0.750 0.250 0.500
Tc 0.250 0.750 0.500

Output
Theoretical density   6.27 Mg/m³
Total moment   0.00 Bohr magnetons per cell
Symmetry   I4/mmm (139)

What should be chosen as the least stable of them? Choose B.

A:
First-principles (PBE-GGA) data for crystalline BaTi2Tc at its relaxed geometry, as listed in Alexandria via LeMat-Bulk.

a b c (Å): 4.824 4.824 4.824
angles (deg): 60.00 60.00 60.00
Sites, in units of the cell vectors:
Ti 0.250 0.250 0.250
Ti 0.750 0.750 0.750
Ba 0.500 0.500 0.500
Tc 0.000 0.000 0.000

Output
Theoretical density   6.93 Mg/m³
Total moment   0.00 Bohr magnetons per cell
Symmetry   Fm-3m (225)

B:
First-principles (PBE-GGA) data for crystalline BaTi2Tc at its relaxed geometry, as listed in Alexandria via LeMat-Bulk.

a b c (Å): 5.535 5.535 8.804
angles (deg): 71.68 71.68 90.00
Sites, in units of the cell vectors:
Ti 0.375 0.125 0.250
Ti 0.375 0.625 0.250
Ti 0.375 0.625 0.750
Ti 0.875 0.625 0.750
Ba 0.000 0.000 0.000
Ba 0.750 0.250 0.500
Tc 0.500 0.500 0.000
Tc 0.250 0.750 0.500

Output
Theoretical density   4.55 Mg/m³
Total moment   2.73 Bohr magnetons per cell
Symmetry   I4_1/amd (141)

What should be chosen as the least stable of them? Choose B.

A:
First-principles (PBE-GGA) data for crystalline BaTi3Tc at its relaxed geometry, as listed in Alexandria via LeMat-Bulk.

a b c (Å): 4.844 4.844 4.844
angles (deg): 90.00 90.00 90.00
Sites, in units of the cell vectors:
Ti 0.000 0.500 0.000
Ti 0.000 0.000 0.500
Ti 0.500 0.000 0.000
Ba 0.000 0.000 0.000
Tc 0.500 0.500 0.500

Output
Theoretical density   5.54 Mg/m³
Total moment   0.00 Bohr magnetons per cell
Symmetry   Pm-3m (221)

B:
First-principles (PBE-GGA) data for crystalline BaTi3Tc at its relaxed geometry, as listed in Alexandria via LeMat-Bulk.

a b c (Å): 4.925 4.925 4.925
angles (deg): 90.00 90.00 90.00
Sites, in units of the cell vectors:
Ti 0.000 0.500 0.000
Ti 0.000 0.000 0.500
Ti 0.500 0.000 0.000
Ba 0.500 0.500 0.500
Tc 0.000 0.000 0.000

Output
Theoretical density   5.27 Mg/m³
Total moment   0.00 Bohr magnetons per cell
Symmetry   Pm-3m (221)

What should be chosen as the least stable of them? Choose A.

A:
First-principles (PBE-GGA) data for crystalline BaV3Tc at its relaxed geometry, as listed in Alexandria via LeMat-Bulk.

a b c (Å): 4.873 4.873 4.873
angles (deg): 90.00 90.00 90.00
Sites, in units of the cell vectors:
Tc 0.000 0.000 0.000
Ba 0.500 0.500 0.500
V 0.000 0.500 0.000
V 0.000 0.000 0.500
V 0.500 0.000 0.000

Output
Theoretical density   5.57 Mg/m³
Total moment   6.28 Bohr magnetons per cell
Symmetry   Pm-3m (221)

B:
First-principles (PBE-GGA) data for crystalline BaV3Tc at its relaxed geometry, as listed in Alexandria via LeMat-Bulk.

a b c (Å): 4.785 4.785 4.785
angles (deg): 90.00 90.00 90.00
Sites, in units of the cell vectors:
Tc 0.500 0.500 0.500
Ba 0.000 0.000 0.000
V 0.000 0.500 0.000
V 0.000 0.000 0.500
V 0.500 0.000 0.000

Output
Theoretical density   5.88 Mg/m³
Total moment   1.90 Bohr magnetons per cell
Symmetry   Pm-3m (221)

What should be chosen as the least stable of them? Choose B.

A:
First-principles (PBE-GGA) data for crystalline Ba2VTc at its relaxed geometry, as listed in Alexandria via LeMat-Bulk.

a b c (Å): 12.235 12.235 8.950
angles (deg): 46.88 46.88 90.00
Sites, in units of the cell vectors:
Tc 0.000 0.000 0.000
Tc 0.750 0.250 0.500
Ba 0.813 0.125 0.250
Ba 0.937 0.625 0.250
Ba 0.375 0.187 0.750
Ba 0.875 0.063 0.750
V 0.500 0.500 0.000
V 0.250 0.750 0.500

Output
Theoretical density   4.10 Mg/m³
Total moment   3.33 Bohr magnetons per cell
Symmetry   I-42d (122)

B:
First-principles (PBE-GGA) data for crystalline Ba2VTc at its relaxed geometry, as listed in Alexandria via LeMat-Bulk.

a b c (Å): 5.574 5.574 5.574
angles (deg): 60.00 60.00 60.00
Sites, in units of the cell vectors:
Tc 0.500 0.500 0.500
Ba 0.250 0.250 0.250
Ba 0.750 0.750 0.750
V 0.000 0.000 0.000

Output
Theoretical density   5.74 Mg/m³
Total moment   5.58 Bohr magnetons per cell
Symmetry   Fm-3m (225)

What should be chosen as the least stable of them? Choose B.

A:
First-principles (PBE-GGA) data for crystalline BaTcW2 at its relaxed geometry, as listed in Alexandria via LeMat-Bulk.

a b c (Å): 4.192 2.988 7.413
angles (deg): 80.63 90.00 90.00
Sites, in units of the cell vectors:
Ba 0.000 0.497 0.505
Tc 0.500 0.707 0.847
W 0.000 0.999 0.993
W 0.500 0.298 0.155

Output
Theoretical density   10.93 Mg/m³
Total moment   0.00 Bohr magnetons per cell
Symmetry   Pm (6)

B:
First-principles (PBE-GGA) data for crystalline BaTcW2 at its relaxed geometry, as listed in Alexandria via LeMat-Bulk.

a b c (Å): 6.051 6.051 6.051
angles (deg): 151.38 127.60 60.79
Sites, in units of the cell vectors:
Ba 0.750 0.250 0.500
Tc 0.250 0.750 0.500
W 0.043 0.043 0.000
W 0.457 0.457 0.000

Output
Theoretical density   12.01 Mg/m³
Total moment   0.00 Bohr magnetons per cell
Symmetry   Immm (71)

What should be chosen as the least stable of them? Choose B.

A:
First-principles (PBE-GGA) data for crystalline BaTc2W2 at its relaxed geometry, as listed in Alexandria via LeMat-Bulk.

a b c (Å): 8.070 8.070 2.962
angles (deg): 90.00 90.00 90.00
Sites, in units of the cell vectors:
Ba 0.000 0.000 0.000
Ba 0.500 0.500 0.000
W 0.134 0.634 0.500
W 0.634 0.866 0.500
W 0.866 0.366 0.500
W 0.366 0.134 0.500
Tc 0.358 0.858 0.000
Tc 0.858 0.642 0.000
Tc 0.642 0.142 0.000
Tc 0.142 0.358 0.000

Output
Theoretical density   12.07 Mg/m³
Total moment   0.00 Bohr magnetons per cell
Symmetry   P4/mbm (127)

B:
First-principles (PBE-GGA) data for crystalline BaTc2W2 at its relaxed geometry, as listed in Alexandria via LeMat-Bulk.

a b c (Å): 4.259 4.259 6.866
angles (deg): 71.93 71.93 90.00
Sites, in units of the cell vectors:
Ba 0.000 0.000 0.000
W 0.750 0.250 0.500
W 0.250 0.750 0.500
Tc 0.364 0.364 0.271
Tc 0.636 0.636 0.729

Output
Theoretical density   10.40 Mg/m³
Total moment   0.00 Bohr magnetons per cell
Symmetry   I4/mmm (139)

What should be chosen as the least stable of them? Choose A.

A:
First-principles (PBE-GGA) data for crystalline BaTc3W at its relaxed geometry, as listed in Alexandria via LeMat-Bulk.

a b c (Å): 4.884 4.884 4.884
angles (deg): 90.00 90.00 90.00
Sites, in units of the cell vectors:
Ba 0.500 0.500 0.500
W 0.000 0.000 0.000
Tc 0.000 0.500 0.000
Tc 0.000 0.000 0.500
Tc 0.500 0.000 0.000

Output
Theoretical density   8.77 Mg/m³
Total moment   2.61 Bohr magnetons per cell
Symmetry   Pm-3m (221)

B:
First-principles (PBE-GGA) data for crystalline BaTc3W at its relaxed geometry, as listed in Alexandria via LeMat-Bulk.

a b c (Å): 4.813 4.813 4.813
angles (deg): 90.00 90.00 90.00
Sites, in units of the cell vectors:
Ba 0.000 0.000 0.000
W 0.500 0.500 0.500
Tc 0.000 0.500 0.000
Tc 0.000 0.000 0.500
Tc 0.500 0.000 0.000

Output
Theoretical density   9.16 Mg/m³
Total moment   0.00 Bohr magnetons per cell
Symmetry   Pm-3m (221)

What should be chosen as the least stable of them? Choose B.

A:
First-principles (PBE-GGA) data for crystalline Ba3YTc at its relaxed geometry, as listed in Alexandria via LeMat-Bulk.

a b c (Å): 5.958 5.958 5.958
angles (deg): 90.00 90.00 90.00
Sites, in units of the cell vectors:
Y 0.500 0.500 0.500
Ba 0.000 0.500 0.000
Ba 0.000 0.000 0.500
Ba 0.500 0.000 0.000
Tc 0.000 0.000 0.000

Output
Theoretical density   4.70 Mg/m³
Total moment   0.00 Bohr magnetons per cell
Symmetry   Pm-3m (221)

B:
First-principles (PBE-GGA) data for crystalline Ba3YTc at its relaxed geometry, as listed in Alexandria via LeMat-Bulk.

a b c (Å): 6.371 6.371 6.371
angles (deg): 90.00 90.00 90.00
Sites, in units of the cell vectors:
Y 0.000 0.000 0.000
Ba 0.000 0.500 0.000
Ba 0.000 0.000 0.500
Ba 0.500 0.000 0.000
Tc 0.500 0.500 0.500

Output
Theoretical density   3.85 Mg/m³
Total moment   3.44 Bohr magnetons per cell
Symmetry   Pm-3m (221)

What should be chosen as the least stable of them? Choose B.

A:
First-principles (PBE-GGA) data for crystalline BaYTc3 at its relaxed geometry, as listed in Alexandria via LeMat-Bulk.

a b c (Å): 5.180 5.180 5.180
angles (deg): 90.00 90.00 90.00
Sites, in units of the cell vectors:
Y 0.000 0.000 0.000
Ba 0.500 0.500 0.500
Tc 0.000 0.500 0.000
Tc 0.000 0.000 0.500
Tc 0.500 0.000 0.000

Output
Theoretical density   6.21 Mg/m³
Total moment   7.08 Bohr magnetons per cell
Symmetry   Pm-3m (221)

B:
First-principles (PBE-GGA) data for crystalline BaYTc3 at its relaxed geometry, as listed in Alexandria via LeMat-Bulk.

a b c (Å): 4.992 4.992 4.992
angles (deg): 90.00 90.00 90.00
Sites, in units of the cell vectors:
Y 0.500 0.500 0.500
Ba 0.000 0.000 0.000
Tc 0.000 0.500 0.000
Tc 0.000 0.000 0.500
Tc 0.500 0.000 0.000

Output
Theoretical density   6.94 Mg/m³
Total moment   3.28 Bohr magnetons per cell
Symmetry   Pm-3m (221)

What should be chosen as the least stable of them? Choose B.

A:
First-principles (PBE-GGA) data for crystalline BaZn2Tc at its relaxed geometry, as listed in Alexandria via LeMat-Bulk.

a b c (Å): 5.030 5.030 5.030
angles (deg): 60.00 60.00 60.00
Sites, in units of the cell vectors:
Zn 0.250 0.250 0.250
Zn 0.750 0.750 0.750
Ba 0.500 0.500 0.500
Tc 0.000 0.000 0.000

Output
Theoretical density   6.76 Mg/m³
Total moment   1.82 Bohr magnetons per cell
Symmetry   Fm-3m (225)

B:
First-principles (PBE-GGA) data for crystalline BaZn2Tc at its relaxed geometry, as listed in Alexandria via LeMat-Bulk.

a b c (Å): 5.958 5.958 5.958
angles (deg): 146.65 125.25 65.64
Sites, in units of the cell vectors:
Ba 0.750 0.250 0.500
Tc 0.250 0.750 0.500
Zn 0.053 0.053 0.000
Zn 0.447 0.447 0.000

Output
Theoretical density   6.48 Mg/m³
Total moment   1.11 Bohr magnetons per cell
Symmetry   Immm (71)

What should be chosen as the least stable of them? Choose A.